A plane-wave DFT calculation with PBE was carried out for crystalline Rb at its relaxed geometry.

Geometry as CIF:
```
data_Rb
_symmetry_space_group_name_H-M 'P -1'
_symmetry_Int_Tables_number 2
_symmetry_space_group_name_Hall '-P 1'
_cell_length_a 4.993
_cell_length_b 5.017
_cell_length_c 8.165
_cell_angle_alpha 89.85
_cell_angle_beta 89.60
_cell_angle_gamma 60.81
loop_
_atom_site_label
_atom_site_type_symbol
_atom_site_fract_x
_atom_site_fract_y
_atom_site_fract_z
_atom_site_occupancy
Rb1 Rb 0.165 0.178 0.250 1
```

Computed properties:
The calculation puts the energy above the most stable polymorph in this dataset at 5.0 meV per atom. For the density, the calculation gives 1.59 g cm⁻³. The value obtained for the energy of formation is 5 meV/atom. The total energy comes out at -0.963 eV/atom.